<A>
{"formula": "SiP2ClO", "functional": "PBEsol", "state": "relaxed", "cell": [[-1.8897, 1.6081, -2.1471], [2.9851, -1.2114, -3.5345], [-2.5249, -3.9888, -0.7653]], "species": ["P", "Cl", "P", "O", "Si"], "frac_coords": [[0.0000, 0.5000, 0.0000], [0.5000, 0.5000, 0.5000], [0.0000, 0.0000, 0.5000], [0.5000, 0.0000, 0.0000], [0.0000, 0.0000, 0.0000]], "rho_g_cm3": 3.13, "volume_a3_per_atom": 15.01, "crystal_system": "tetragonal"}

***

<B>
{"formula": "SiP2ClO", "functional": "PBEsol", "state": "relaxed", "cell": [[-2.5664, -1.7530, -3.1143], [3.2069, -2.9707, -0.9706], [-1.7161, -2.8361, 3.0105]], "species": ["O", "Cl", "Si", "P", "P"], "frac_coords": [[0.5000, 0.5000, 0.5000], [0.5000, 0.0000, 0.0000], [0.0000, 0.0000, 0.0000], [0.0000, 0.5000, 0.0000], [0.0000, 0.0000, 0.5000]], "rho_g_cm3": 2.66, "volume_a3_per_atom": 17.64, "crystal_system": "tetragonal"}

***

Stability check: which of them is least stable? <B>.

***

<A>
{"formula": "TeP2ClO", "functional": "PBEsol", "state": "relaxed", "cell": [[-1.5300, -1.2312, 3.4252], [3.6118, -0.0542, 1.5939], [-0.6461, 5.3854, 1.6471]], "species": ["P", "P", "O", "Cl", "Te"], "frac_coords": [[0.5000, 0.0000, 0.0000], [0.0000, 0.5000, 0.0000], [0.0000, 0.0000, 0.0000], [0.0000, 0.0000, 0.5000], [0.5000, 0.5000, 0.5000]], "rho_g_cm3": 4.53, "volume_a3_per_atom": 17.67, "crystal_system": "tetragonal"}

***

<B>
{"formula": "TeP2ClO", "functional": "PBEsol", "state": "relaxed", "cell": [[-3.1551, 1.0554, 2.0947], [2.1455, -2.0220, 4.2504], [2.2183, 4.5542, 1.0468]], "species": ["P", "P", "Cl", "Te", "O"], "frac_coords": [[0.0000, 0.0000, 0.5000], [0.0000, 0.5000, 0.0000], [0.5000, 0.5000, 0.5000], [0.0000, 0.0000, 0.0000], [0.5000, 0.0000, 0.0000]], "rho_g_cm3": 3.80, "volume_a3_per_atom": 21.04, "crystal_system": "tetragonal"}

***

Stability check: which of them is least stable? <B>.

***

<A>
{"formula": "SbClO", "functional": "PBEsol", "state": "relaxed", "cell": [[7.9135, -0.0898, 0.0000], [-2.3634, 9.0209, 0.0000], [0.0000, 0.0000, 10.9293]], "species": ["O", "O", "O", "Cl", "O", "Sb", "Sb", "Sb", "Cl", "Cl", "O", "Cl", "O", "O", "Sb", "O", "Sb", "Cl", "Cl", "Cl", "Cl", "Cl", "Sb", "Sb", "O", "O", "Sb", "Cl", "O", "Cl", "Sb", "Sb", "Cl", "O", "Sb", "Sb"], "frac_coords": [[0.7447, 0.7583, 0.1595], [0.2553, 0.2417, 0.8405], [0.5241, 0.4067, 0.9277], [0.1124, 0.6629, 0.1068], [0.7217, 0.4342, 0.1616], [0.4956, 0.2761, 0.3200], [0.4956, 0.7761, 0.1800], [0.2768, 0.9240, 0.5242], [0.0907, 0.8998, 0.8965], [0.9093, 0.1002, 0.1035], [0.4759, 0.0933, 0.4277], [0.5972, 0.3757, 0.6396], [0.2783, 0.0658, 0.6616], [0.4759, 0.5933, 0.0723], [0.0637, 0.0879, 0.7495], [0.2553, 0.7417, 0.6595], [0.5044, 0.2239, 0.8200], [0.0907, 0.3998, 0.6035], [0.4028, 0.6243, 0.3604], [0.9093, 0.6002, 0.3965], [0.8876, 0.3371, 0.8932], [0.5972, 0.8757, 0.8604], [0.2768, 0.4240, 0.9758], [0.5044, 0.7239, 0.6800], [0.7217, 0.9342, 0.3384], [0.5241, 0.9067, 0.5723], [0.7232, 0.0760, 0.4758], [0.8876, 0.8371, 0.6068], [0.7447, 0.2583, 0.3405], [0.1124, 0.1629, 0.3932], [0.0637, 0.5879, 0.7505], [0.7232, 0.5760, 0.0242], [0.4028, 0.1243, 0.1396], [0.2783, 0.5658, 0.8384], [0.9363, 0.9121, 0.2505], [0.9363, 0.4121, 0.2495]], "rho_g_cm3": 4.44, "volume_a3_per_atom": 21.61, "crystal_system": "monoclinic"}

***

<B>
{"formula": "SbClO", "functional": "PBEsol", "state": "relaxed", "cell": [[3.7480, 0.0000, 0.0000], [0.0000, 3.7480, 0.0000], [0.0000, 0.0000, 7.5240]], "species": ["Cl", "O", "Sb", "O", "Cl", "Sb"], "frac_coords": [[0.0000, 0.5000, 0.3384], [0.5000, 0.5000, 0.0000], [0.0000, 0.5000, 0.8368], [0.0000, 0.0000, 0.0000], [0.5000, 0.0000, 0.6616], [0.5000, 0.0000, 0.1632]], "rho_g_cm3": 5.44, "volume_a3_per_atom": 17.62, "crystal_system": "tetragonal"}

***

Stability check: which of them is least stable? <A>.

***

<A>
{"formula": "ZrWCl2O", "functional": "PBEsol", "state": "relaxed", "cell": [[4.7455, 0.0000, 0.0000], [0.0000, 4.7455, 0.0000], [0.0000, 0.0000, 5.4706]], "species": ["Cl", "O", "Cl", "W", "Zr"], "frac_coords": [[0.0000, 0.5000, 0.0000], [0.5000, 0.5000, 0.5000], [0.5000, 0.0000, 0.0000], [0.0000, 0.0000, 0.5000], [0.0000, 0.0000, 0.0000]], "rho_g_cm3": 4.88, "volume_a3_per_atom": 24.64, "crystal_system": "tetragonal"}

***

<B>
{"formula": "ZrWCl2O", "functional": "PBEsol", "state": "relaxed", "cell": [[3.7353, 0.0000, 0.0000], [0.0000, 4.9206, 0.0000], [0.0000, 0.0000, 4.9206]], "species": ["Zr", "O", "Cl", "W", "Cl"], "frac_coords": [[0.5000, 0.5000, 0.5000], [0.5000, 0.0000, 0.0000], [0.0000, 0.5000, 0.0000], [0.0000, 0.0000, 0.0000], [0.0000, 0.0000, 0.5000]], "rho_g_cm3": 6.65, "volume_a3_per_atom": 18.09, "crystal_system": "tetragonal"}

***

Stability check: which of them is least stable? <A>.

***

<A>
{"formula": "Os2Cl", "functional": "PBEsol", "state": "relaxed", "cell": [[-0.6467, -2.3283, 1.3870], [3.2578, 2.1739, 2.3699], [-7.2868, 4.8172, 4.6888]], "species": ["Os", "Os", "Os", "Cl", "Os", "Cl"], "frac_coords": [[0.5929, 0.1858, 0.1700], [0.8690, 0.7380, 0.0467], [0.1310, 0.2620, 0.9533], [0.8751, 0.7502, 0.6354], [0.4071, 0.8142, 0.8300], [0.1249, 0.2498, 0.3646]], "rho_g_cm3": 11.48, "volume_a3_per_atom": 20.05, "crystal_system": "monoclinic"}

***

<B>
{"formula": "Os2Cl", "functional": "PBEsol", "state": "relaxed", "cell": [[2.8198, 0.0000, 0.0000], [0.0000, 3.9951, 0.0000], [0.0000, 0.0000, 3.9951]], "species": ["Os", "Os", "Cl"], "frac_coords": [[0.5000, 0.5000, 0.0000], [0.5000, 0.0000, 0.5000], [0.0000, 0.0000, 0.0000]], "rho_g_cm3": 15.35, "volume_a3_per_atom": 15.00, "crystal_system": "tetragonal"}

***

<C>
{"formula": "Os2Cl", "functional": "PBEsol", "state": "relaxed", "cell": [[3.9725, 0.0000, 0.0000], [1.9863, 3.4403, 0.0000], [1.9863, 1.1468, 3.2435]], "species": ["Os", "Cl", "Os"], "frac_coords": [[0.2500, 0.2500, 0.2500], [0.0000, 0.0000, 0.0000], [0.7500, 0.7500, 0.7500]], "rho_g_cm3": 15.58, "volume_a3_per_atom": 14.78, "crystal_system": "cubic"}

***

Stability check: which of them is least stable? <B>.

***

<A>
{"formula": "Os2Cl", "functional": "PBEsol", "state": "relaxed", "cell": [[2.8237, 0.0000, 0.0000], [0.0000, 2.8237, 0.0000], [-1.4118, -1.4118, 5.6462]], "species": ["Cl", "Os", "Os"], "frac_coords": [[0.5000, 0.5000, 0.0000], [0.1792, 0.1792, 0.3584], [0.8208, 0.8208, 0.6416]], "rho_g_cm3": 15.34, "volume_a3_per_atom": 15.01, "crystal_system": "tetragonal"}

***

<B>
{"formula": "Os2Cl", "functional": "PBEsol", "state": "relaxed", "cell": [[3.8870, 0.0000, 0.0000], [-1.9435, 3.3662, 0.0000], [0.0000, 0.0000, 7.4701]], "species": ["Os", "Os", "Cl", "Cl", "Os", "Os"], "frac_coords": [[0.3333, 0.6667, 0.4279], [0.3333, 0.6667, 0.0721], [0.0000, 0.0000, 0.7500], [0.0000, 0.0000, 0.2500], [0.6667, 0.3333, 0.9279], [0.6667, 0.3333, 0.5721]], "rho_g_cm3": 14.13, "volume_a3_per_atom": 16.29, "crystal_system": "hexagonal"}

***

Stability check: which of them is least stable? <B>.

***

<A>
{"formula": "POsCl2", "functional": "PBEsol", "state": "relaxed", "cell": [[-1.8063, 0.5068, -2.1416], [-1.3967, -2.4051, 0.6088], [-5.0940, 4.3034, 5.3149]], "species": ["Os", "Cl", "P", "Cl"], "frac_coords": [[0.5000, 0.5000, 0.0000], [0.0000, 0.0000, 0.1888], [0.5000, 0.5000, 0.5000], [0.0000, 0.0000, 0.8112]], "rho_g_cm3": 7.02, "volume_a3_per_atom": 17.28, "crystal_system": "tetragonal"}

***

<B>
{"formula": "POsCl2", "functional": "PBEsol", "state": "relaxed", "cell": [[-2.0125, -1.0488, -3.7449], [1.5507, -3.2579, -2.4810], [-2.2205, -3.7610, -0.3134]], "species": ["P", "Cl", "Cl", "Os"], "frac_coords": [[0.0000, 0.0000, 0.0000], [0.7500, 0.7500, 0.7500], [0.2500, 0.2500, 0.2500], [0.5000, 0.5000, 0.5000]], "rho_g_cm3": 8.17, "volume_a3_per_atom": 14.84, "crystal_system": "cubic"}

***

Stability check: which of them is least stable? <B>.

***

<A>
{"formula": "OsPtCl", "functional": "PBEsol", "state": "relaxed", "cell": [[4.0707, 0.0000, 0.0000], [2.0353, 3.5253, 0.0000], [2.0353, 1.1751, 3.3237]], "species": ["Os", "Pt", "Cl"], "frac_coords": [[0.0000, 0.0000, 0.0000], [0.5000, 0.5000, 0.5000], [0.2500, 0.2500, 0.2500]], "rho_g_cm3": 14.65, "volume_a3_per_atom": 15.90, "crystal_system": "cubic"}

***

<B>
{"formula": "OsPtCl", "functional": "PBEsol", "state": "relaxed", "cell": [[-0.4585, 4.1282, -0.6467], [-1.4372, 2.4642, 3.0875], [2.5842, 2.7234, 1.8909]], "species": ["Os", "Cl", "Pt"], "frac_coords": [[0.2500, 0.2500, 0.2500], [0.5000, 0.5000, 0.5000], [0.0000, 0.0000, 0.0000]], "rho_g_cm3": 13.30, "volume_a3_per_atom": 17.51, "crystal_system": "cubic"}

***

Stability check: which of them is least stable? <A>.